DFT (GGA-PBE) results for an optimized crystal structure of KDyPb.

Structure (POSCAR):
```
KDyPb
1.0
2.200 -1.788 4.578
-2.962 -2.852 3.476
0.944 -5.260 0.659
K Dy Pb
1 1 1
direct
0.250 0.250 0.250 K
0.000 0.000 0.000 Dy
0.750 0.750 0.750 Pb
```

Calculated values
As for the spin magnetization: 0.00 μB per formula unit. For the calculated density, the calculation gives 6.15 g/cm³. The value obtained for the total energy is -2.9359 eV per atom. The space-group type is No. 216.